# SbTePd

A relaxed structure of SbTePd (PBE, Alexandria). Values from VASP.

Geometry as Quantum ESPRESSO input:
```
&SYSTEM
  ibrav = 0, nat = 3, ntyp = 3
/
ATOMIC_SPECIES
Sb 121.76 Sb.upf
Te 127.60 Te.upf
Pd 106.42 Pd.upf
CELL_PARAMETERS angstrom
4.7527 0.0000 0.0000
2.3764 4.1160 0.0000
2.3764 1.3720 3.8806
ATOMIC_POSITIONS angstrom
Sb 4.7527 2.7440 1.9403
Te 0.0000 0.0000 0.0000
Pd 2.3764 1.3720 0.9701
```

Output
* energy above the lowest structure with this stoichiometry: 0.153 eV/atom

***

# Sb2TePd4

A relaxed structure of Sb2TePd4 (PBE, Alexandria). Values from VASP.

Geometry as Quantum ESPRESSO input:
```
&SYSTEM
  ibrav = 0, nat = 7, ntyp = 3
/
ATOMIC_SPECIES
Sb 121.76 Sb.upf
Te 127.60 Te.upf
Pd 106.42 Pd.upf
CELL_PARAMETERS angstrom
5.1474 0.0000 0.0000
0.0000 5.1474 0.0000
2.5737 2.5737 6.5876
ATOMIC_POSITIONS angstrom
Sb 2.5737 2.5737 1.4494
Sb 5.1474 5.1474 5.1381
Te 0.0000 0.0000 0.0000
Pd 2.5737 2.5737 4.0106
Pd 5.1474 5.1474 2.5770
Pd 0.0000 2.5737 0.0000
Pd 2.5737 0.0000 0.0000
```

Output
* energy above the lowest structure with this stoichiometry: 0.484 eV/atom

***

# Sb2Te5Pd12

A relaxed structure of Sb2Te5Pd12 (PBE, Alexandria). Values from VASP.

Geometry as Quantum ESPRESSO input:
```
&SYSTEM
  ibrav = 0, nat = 19, ntyp = 3
/
ATOMIC_SPECIES
Sb 121.76 Sb.upf
Te 127.60 Te.upf
Pd 106.42 Pd.upf
CELL_PARAMETERS angstrom
7.1802 0.0000 0.0000
-3.5901 6.9208 -0.0711
0.0000 -2.5582 7.9191
ATOMIC_POSITIONS angstrom
Sb 5.5326 0.0000 0.0000
Sb 1.6476 0.0000 0.0000
Te 0.0000 2.0150 4.5411
Te 0.0000 4.1536 1.1569
Te 0.0000 -1.2791 3.9596
Te 3.5901 0.2089 6.6911
Te 3.5901 2.3476 3.3069
Pd 0.0000 0.6735 2.0570
Pd -1.4965 1.8988 6.7866
Pd 1.4965 1.8988 6.7866
Pd -1.4323 4.1562 3.5251
Pd 1.4323 4.1562 3.5251
Pd 0.0000 4.4978 5.9744
Pd 3.5901 -0.1352 1.8736
Pd 5.0224 0.2063 4.3229
Pd 2.1578 0.2063 4.3229
Pd 5.0866 2.4637 1.0614
Pd 2.0936 2.4637 1.0614
Pd 3.5901 3.6891 5.7910
```

Output
* final energy: -0.3514 Ry per atom

***

# SbTe2Pd4

A relaxed structure of SbTe2Pd4 (PBE, Alexandria). Values from VASP.

Geometry as Quantum ESPRESSO input:
```
&SYSTEM
  ibrav = 0, nat = 7, ntyp = 3
/
ATOMIC_SPECIES
Sb 121.76 Sb.upf
Te 127.60 Te.upf
Pd 106.42 Pd.upf
CELL_PARAMETERS angstrom
5.0271 0.0000 0.0000
0.0000 5.0271 0.0000
2.5135 2.5135 6.8699
ATOMIC_POSITIONS angstrom
Sb 0.0000 0.0000 0.0000
Te 2.5135 2.5135 1.7317
Te 5.0271 5.0271 5.1382
Pd 2.5135 2.5135 4.3216
Pd 5.0271 5.0271 2.5483
Pd 0.0000 2.5135 0.0000
Pd 2.5135 0.0000 0.0000
```

Output
* energy above the lowest structure with this stoichiometry: 0.412 eV/atom

***

# SbTePd

A relaxed structure of SbTePd (PBE, Alexandria). Values from VASP.

Geometry as Quantum ESPRESSO input:
```
&SYSTEM
  ibrav = 0, nat = 6, ntyp = 3
/
ATOMIC_SPECIES
Te 127.60 Te.upf
Pd 106.42 Pd.upf
Sb 121.76 Sb.upf
CELL_PARAMETERS angstrom
-1.9927 -3.4875 -1.6083
2.4301 -3.3018 3.3582
-4.1115 -2.1797 6.4085
ATOMIC_POSITIONS angstrom
Te -4.2204 -5.8241 5.0498
Te 0.8763 -3.0187 2.3133
Pd -1.4298 -3.7875 1.1405
Pd -1.5144 -5.8980 5.1096
Sb 0.6688 -4.3455 4.8568
Sb -2.6003 -3.7081 3.8628
```

Output
* energy above the lowest structure with this stoichiometry: 0.173 eV/atom

***

# Sb2Te2Pd3

A relaxed structure of Sb2Te2Pd3 (PBE, Alexandria). Values from VASP.

Geometry as Quantum ESPRESSO input:
```
&SYSTEM
  ibrav = 0, nat = 7, ntyp = 3
/
ATOMIC_SPECIES
Sb 121.76 Sb.upf
Te 127.60 Te.upf
Pd 106.42 Pd.upf
CELL_PARAMETERS angstrom
4.0126 -0.0176 0.2723
-2.0316 6.2826 0.0291
0.4535 -0.7740 6.4289
ATOMIC_POSITIONS angstrom
Sb 2.6254 4.4693 4.1454
Sb -0.1909 1.0217 2.5849
Te 2.5174 0.9870 5.9861
Te -0.0829 4.5040 0.7442
Pd 0.0000 0.0000 0.0000
Pd 1.8410 2.7276 2.1021
Pd 0.5935 2.7634 4.6282
```

Output
* energy above the lowest structure with this stoichiometry: 0.077 eV/atom

***

# Sb2TePd7

A relaxed structure of Sb2TePd7 (PBE, Alexandria). Values from VASP.

Geometry as Quantum ESPRESSO input:
```
&SYSTEM
  ibrav = 0, nat = 10, ntyp = 3
/
ATOMIC_SPECIES
Sb 121.76 Sb.upf
Te 127.60 Te.upf
Pd 106.42 Pd.upf
CELL_PARAMETERS angstrom
4.1466 0.0000 0.0000
0.0000 7.8409 -0.4891
0.0000 -3.8980 6.8209
ATOMIC_POSITIONS angstrom
Sb 2.0733 4.1966 1.7803
Sb 2.0733 -0.2536 4.5515
Te 0.0000 0.0000 0.0000
Pd 0.0000 5.4842 0.9785
Pd 0.0000 -1.5412 5.3534
Pd 2.0733 -0.4875 1.9277
Pd 2.0733 4.4305 4.4041
Pd 2.0733 1.9450 0.4129
Pd 2.0733 1.9979 5.9189
Pd 2.0733 1.9715 3.1659
```

Output
* energy above the lowest structure with this stoichiometry: 0.233 eV/atom

***

# Sb5Te2Pd12

A relaxed structure of Sb5Te2Pd12 (PBE, Alexandria). Values from VASP.

Geometry as Quantum ESPRESSO input:
```
&SYSTEM
  ibrav = 0, nat = 19, ntyp = 3
/
ATOMIC_SPECIES
Sb 121.76 Sb.upf
Te 127.60 Te.upf
Pd 106.42 Pd.upf
CELL_PARAMETERS angstrom
-2.6001 2.3272 -4.6641
6.3166 -4.8036 -2.2808
-7.0898 -5.3022 1.3067
ATOMIC_POSITIONS angstrom
Sb -1.4645 -5.6994 -2.0274
Sb 2.3147 -3.3352 -2.9545
Sb -3.5449 -2.6511 0.6534
Sb -5.6880 -4.4434 -2.6837
Sb -1.9088 -2.0792 -3.6108
Te -1.9560 1.7507 -3.5087
Te -0.6441 0.5765 -1.1555
Pd -1.1329 -2.0706 -0.4016
Pd -2.5934 -7.5704 -0.4923
Pd -3.9082 -6.3936 -2.8508
Pd 1.1589 -5.2798 -1.4564
Pd -0.1451 -4.1127 -3.7954
Pd 0.2765 -7.0081 -3.6509
Pd -3.6498 -0.7705 -1.9872
Pd -4.5322 -2.4988 -4.1818
Pd -3.2282 -3.6659 -1.8428
Pd -0.7798 -0.2082 -5.1459
Pd 0.5350 -1.3850 -2.7874
Pd -2.2403 -5.7080 -5.2366
```

Output
* final energy: -0.3665 Ry per atom

***

# SbTe2Pd8

A relaxed structure of SbTe2Pd8 (PBE, Alexandria). Values from VASP.

Geometry as Quantum ESPRESSO input:
```
&SYSTEM
  ibrav = 0, nat = 11, ntyp = 3
/
ATOMIC_SPECIES
Sb 121.76 Sb.upf
Te 127.60 Te.upf
Pd 106.42 Pd.upf
CELL_PARAMETERS angstrom
-4.3656 0.6273 0.4241
0.1899 -2.9582 6.3301
3.1528 6.7436 -0.6668
ATOMIC_POSITIONS angstrom
Sb -2.1828 0.3137 0.2121
Te 0.4629 0.4852 4.0470
Te -1.4858 3.9275 2.0404
Pd -1.9449 0.1638 2.8822
Pd 0.6478 4.3802 0.1889
Pd 0.4241 1.8012 1.7007
Pd 0.2277 -1.9412 5.2155
Pd -1.4470 2.6115 4.3867
Pd -1.6708 0.0325 5.8985
Pd 0.9220 4.2489 3.2053
Pd -1.2507 6.3539 0.8720
```

Output
* energy above the lowest structure with this stoichiometry: 0.002 eV/atom

***

# SbTe4Pd

A relaxed structure of SbTe4Pd (PBE, Alexandria). Values from VASP.

Geometry as Quantum ESPRESSO input:
```
&SYSTEM
  ibrav = 0, nat = 12, ntyp = 3
/
ATOMIC_SPECIES
Sb 121.76 Sb.upf
Te 127.60 Te.upf
Pd 106.42 Pd.upf
CELL_PARAMETERS angstrom
-5.7718 3.5637 1.7737
-2.6184 -1.0873 -6.3361
-3.2960 -6.1490 2.4172
ATOMIC_POSITIONS angstrom
Sb 0.0000 0.0000 0.0000
Sb -4.1951 1.2382 -2.2812
Te -7.2580 1.6450 -1.7944
Te -6.4932 -3.1948 2.5224
Te -4.4700 -1.5822 -0.7036
Te -4.9646 -4.1355 -3.8634
Te -4.4282 -5.3175 -0.3509
Te -5.1930 -0.4778 -4.6677
Te -7.2162 -2.0903 -1.4417
Te -6.7216 0.4630 1.7182
Pd -4.5339 -1.2926 2.0954
Pd -2.9572 -3.6181 -1.9595
```

Output
* energy above the lowest structure with this stoichiometry: 0.070 eV/atom

***

# SbTe2Pd2

A relaxed structure of SbTe2Pd2 (PBE, Alexandria). Values from VASP.

Geometry as Quantum ESPRESSO input:
```
&SYSTEM
  ibrav = 0, nat = 10, ntyp = 3
/
ATOMIC_SPECIES
Sb 121.76 Sb.upf
Te 127.60 Te.upf
Pd 106.42 Pd.upf
CELL_PARAMETERS angstrom
7.7586 0.0000 0.0000
0.0000 7.7586 0.0000
0.0000 0.0000 3.6521
ATOMIC_POSITIONS angstrom
Sb 0.0000 0.0000 0.0000
Sb 3.8793 3.8793 0.0000
Te 1.2694 5.1487 1.8260
Te 5.1487 6.4892 1.8260
Te 6.4892 2.6099 1.8260
Te 2.6099 1.2694 1.8260
Pd 2.8604 6.7397 0.0000
Pd 6.7397 4.8982 0.0000
Pd 4.8982 1.0189 0.0000
Pd 1.0189 2.8604 0.0000
```

Output
* final energy: -0.3125 Ry per atom

***

# SbTe2Pd8

A relaxed structure of SbTe2Pd8 (PBE, Alexandria). Values from VASP.

Geometry as Quantum ESPRESSO input:
```
&SYSTEM
  ibrav = 0, nat = 11, ntyp = 3
/
ATOMIC_SPECIES
Sb 121.76 Sb.upf
Te 127.60 Te.upf
Pd 106.42 Pd.upf
CELL_PARAMETERS angstrom
-0.2065 2.4177 3.4359
-5.6344 2.1694 -1.8652
-1.1629 -7.3619 2.5356
ATOMIC_POSITIONS angstrom
Sb -0.1033 1.2089 1.7180
Te -2.7866 -1.7947 3.6702
Te -4.2172 -0.9801 0.4362
Pd -4.1664 -3.8896 2.4865
Pd -5.7536 1.0497 1.4904
Pd -5.4690 -1.3984 3.2301
Pd -2.7017 -3.9608 5.1995
Pd -1.5348 -1.3764 0.8763
Pd -1.2502 -3.8245 2.6160
Pd -2.8374 1.1148 1.6198
Pd -4.3021 1.1860 -1.0931
```

Output
* energy above the lowest structure with this stoichiometry: 0.000 eV/atom

***

# SbTePd3

A relaxed structure of SbTePd3 (PBE, Alexandria). Values from VASP.

Geometry as Quantum ESPRESSO input:
```
&SYSTEM
  ibrav = 0, nat = 5, ntyp = 3
/
ATOMIC_SPECIES
Sb 121.76 Sb.upf
Te 127.60 Te.upf
Pd 106.42 Pd.upf
CELL_PARAMETERS angstrom
4.9710 0.0000 0.0000
0.0000 4.9710 0.0000
0.0000 0.0000 4.9710
ATOMIC_POSITIONS angstrom
Sb 2.4855 2.4855 2.4855
Te 0.0000 0.0000 0.0000
Pd 0.0000 2.4855 0.0000
Pd 0.0000 0.0000 2.4855
Pd 2.4855 0.0000 0.0000
```

Output
* energy above the lowest structure with this stoichiometry: 0.656 eV/atom

***

# Sb2TePd

A relaxed structure of Sb2TePd (PBE, Alexandria). Values from VASP.

Geometry as Quantum ESPRESSO input:
```
&SYSTEM
  ibrav = 0, nat = 16, ntyp = 3
/
ATOMIC_SPECIES
Sb 121.76 Sb.upf
Te 127.60 Te.upf
Pd 106.42 Pd.upf
CELL_PARAMETERS angstrom
5.0869 0.0000 0.0000
0.0000 6.9298 -0.0028
0.0000 0.0061 11.8743
ATOMIC_POSITIONS angstrom
Sb 4.0346 6.3808 11.0094
Sb 1.0523 0.5551 0.8621
Sb 1.4912 4.0230 6.7979
Sb 3.5957 2.9129 5.0736
Sb 4.0345 2.9113 0.8615
Sb 1.0523 4.0246 11.0100
Sb 1.4911 0.5567 5.0743
Sb 3.5958 6.3792 6.7972
Te 1.2711 3.6628 2.9669
Te 3.8158 3.2730 8.9046
Te 3.8145 6.7349 2.9660
Te 1.2723 0.2010 8.9055
Pd 0.0002 1.7361 7.0627
Pd 5.0867 5.1997 4.8088
Pd 2.5437 1.7379 10.7474
Pd 2.5432 5.1980 1.1241
```

Output
* final energy: -0.3166 Ry per atom

***

# Sb2TePd5

A relaxed structure of Sb2TePd5 (PBE, Alexandria). Values from VASP.

Geometry as Quantum ESPRESSO input:
```
&SYSTEM
  ibrav = 0, nat = 32, ntyp = 3
/
ATOMIC_SPECIES
Sb 121.76 Sb.upf
Te 127.60 Te.upf
Pd 106.42 Pd.upf
CELL_PARAMETERS angstrom
-3.9280 -0.3454 2.1514
-0.9173 -10.1157 -3.3001
6.3965 -4.1715 11.0089
ATOMIC_POSITIONS angstrom
Sb -0.7063 -6.4533 4.7095
Sb 1.8462 -6.5790 9.3463
Sb 0.6989 -3.3449 3.0852
Sb 4.8092 -4.4865 10.4031
Sb -3.2580 -10.1462 -0.5429
Sb 0.8523 -11.2878 6.7750
Sb -0.2950 -8.0537 0.5139
Sb 2.2575 -8.1794 5.1508
Te -2.6318 -4.4506 1.5140
Te 2.7545 -3.8936 6.7485
Te -1.2033 -10.7391 3.1117
Te 4.1830 -10.1821 8.3463
Pd 0.4500 -5.9519 2.2123
Pd -0.9511 -5.5311 -0.2803
Pd 4.5510 -7.1570 9.5031
Pd 1.7764 -5.3923 4.7231
Pd -1.8454 -2.5567 3.2559
Pd 3.1302 -6.5453 7.0066
Pd 3.1536 -6.0868 11.8128
Pd -0.4780 -3.7633 5.5579
Pd -0.1638 -12.7199 4.6914
Pd 2.0718 -3.9568 10.1791
Pd -0.5205 -10.6759 -0.3189
Pd 1.7150 -1.9128 5.1689
Pd 2.0292 -10.8693 4.3023
Pd -1.6024 -8.5458 -1.9526
Pd -1.5790 -8.0874 2.8536
Pd 3.3966 -12.0760 6.6043
Pd -0.2251 -9.2403 5.1371
Pd -2.9998 -7.4757 0.3571
Pd 2.5023 -9.1016 10.1405
Pd 1.1012 -8.6808 7.6480
```

Output
* final energy: -0.3683 Ry per atom

***

# SbTePd

A relaxed structure of SbTePd (PBE, Alexandria). Values from VASP.

Geometry as Quantum ESPRESSO input:
```
&SYSTEM
  ibrav = 0, nat = 3, ntyp = 3
/
ATOMIC_SPECIES
Sb 121.76 Sb.upf
Te 127.60 Te.upf
Pd 106.42 Pd.upf
CELL_PARAMETERS angstrom
-0.5302 -3.0817 2.6626
1.0268 -0.8046 -3.8943
4.9229 0.2329 1.2499
ATOMIC_POSITIONS angstrom
Sb 3.4339 -1.4252 -0.9657
Te 0.3368 0.0159 0.0855
Pd 1.6487 -2.2441 0.8984
```

Output
* energy above the lowest structure with this stoichiometry: 0.061 eV/atom

***

# SbTe3Pd

A relaxed structure of SbTe3Pd (PBE, Alexandria). Values from VASP.

Geometry as Quantum ESPRESSO input:
```
&SYSTEM
  ibrav = 0, nat = 5, ntyp = 3
/
ATOMIC_SPECIES
Sb 121.76 Sb.upf
Te 127.60 Te.upf
Pd 106.42 Pd.upf
CELL_PARAMETERS angstrom
-2.1302 4.0074 -2.6797
-3.6413 0.5825 3.7656
3.1593 3.3733 2.5332
ATOMIC_POSITIONS angstrom
Sb -1.3061 3.9816 1.8095
Te -1.8206 0.2912 1.8828
Te 1.5797 1.6867 1.2666
Te -1.0651 2.0037 -1.3399
Pd 0.0000 0.0000 0.0000
```

Output
* energy above the lowest structure with this stoichiometry: 0.449 eV/atom

***

# SbTePd4

A relaxed structure of SbTePd4 (PBE, Alexandria). Values from VASP.

Geometry as Quantum ESPRESSO input:
```
&SYSTEM
  ibrav = 0, nat = 12, ntyp = 3
/
ATOMIC_SPECIES
Sb 121.76 Sb.upf
Te 127.60 Te.upf
Pd 106.42 Pd.upf
CELL_PARAMETERS angstrom
4.3625 0.0000 0.0000
0.0000 5.6268 0.0000
-2.1812 0.0000 9.8338
ATOMIC_POSITIONS angstrom
Sb 2.1812 4.5785 6.4651
Sb 0.0000 1.7651 3.3688
Te 2.1812 4.9321 1.1274
Te 0.0000 2.1187 8.7065
Pd 2.1812 1.4871 7.2670
Pd 0.0000 4.3005 2.5668
Pd 0.0000 5.0286 8.2330
Pd 2.1812 2.2152 1.6009
Pd 2.1812 3.0903 4.2699
Pd 0.0000 0.2769 5.5640
Pd 2.1812 0.2024 3.7385
Pd 0.0000 3.0158 6.0953
```

Output
* energy above the lowest structure with this stoichiometry: 0.000 eV/atom

***

# Sb3TePd

A relaxed structure of Sb3TePd (PBE, Alexandria). Values from VASP.

Geometry as Quantum ESPRESSO input:
```
&SYSTEM
  ibrav = 0, nat = 10, ntyp = 3
/
ATOMIC_SPECIES
Sb 121.76 Sb.upf
Te 127.60 Te.upf
Pd 106.42 Pd.upf
CELL_PARAMETERS angstrom
-4.4750 -1.5721 1.6901
2.7941 -1.0480 6.4230
-1.7750 7.1859 1.9842
ATOMIC_POSITIONS angstrom
Sb -1.0213 0.4943 3.3410
Sb -1.1504 5.2234 8.2444
Sb -3.6301 1.2801 5.5118
Sb -2.3690 2.6097 9.2403
Sb -4.5202 4.8889 6.5122
Sb -0.2655 1.6463 7.2604
Te -2.3714 3.9278 4.5073
Te -1.9419 -1.1481 8.4228
Pd -0.1202 4.0517 6.0420
Pd -1.4841 -0.3204 5.8646
```

Output
* energy above the lowest structure with this stoichiometry: 0.000 eV/atom

***

# Sb2TePd3

A relaxed structure of Sb2TePd3 (PBE, Alexandria). Values from VASP.

Geometry as Quantum ESPRESSO input:
```
&SYSTEM
  ibrav = 0, nat = 12, ntyp = 3
/
ATOMIC_SPECIES
Sb 121.76 Sb.upf
Te 127.60 Te.upf
Pd 106.42 Pd.upf
CELL_PARAMETERS angstrom
6.6729 0.0818 0.1409
-1.3887 6.9653 -0.5866
-1.3887 -3.9626 5.7583
ATOMIC_POSITIONS angstrom
Sb 0.2796 6.3385 -0.1756
Sb 0.2796 -1.5361 4.3966
Sb 3.6160 -3.2539 5.4882
Sb 3.6160 4.6207 0.9161
Te 0.2796 2.5584 2.0192
Te 3.6160 0.5262 3.2934
Pd -0.4399 -0.1364 2.0860
Pd 2.8965 1.9201 0.9861
Pd -0.6943 3.4827 -0.2933
Pd 4.3355 3.2210 3.2267
Pd 2.6421 -1.9404 2.9496
Pd 0.9990 1.1645 4.3265
```

Output
* final energy: -0.3510 Ry per atom

***

# Sb2TePd7

A relaxed structure of Sb2TePd7 (PBE, Alexandria). Values from VASP.

Geometry as Quantum ESPRESSO input:
```
&SYSTEM
  ibrav = 0, nat = 10, ntyp = 3
/
ATOMIC_SPECIES
Sb 121.76 Sb.upf
Te 127.60 Te.upf
Pd 106.42 Pd.upf
CELL_PARAMETERS angstrom
-1.4562 3.7785 -0.5070
-3.8123 -1.4400 0.2177
2.6967 0.3491 11.2827
ATOMIC_POSITIONS angstrom
Sb -2.6130 1.6850 3.6384
Sb 0.0413 1.0027 7.3550
Te 0.0000 0.0000 0.0000
Pd -1.8944 -0.4351 2.1982
Pd -1.8554 0.5136 9.1576
Pd -0.7164 2.1741 1.8358
Pd -2.6342 1.1693 -0.1446
Pd -0.6968 2.6485 5.3155
Pd -0.6773 3.1229 8.7953
Pd -1.8749 0.0392 5.6779
```

Output
* energy above the lowest structure with this stoichiometry: 0.000 eV/atom

***

no.,M_tot (μB/f.u.)
1,0.00
2,0.00
3,0.00
4,0.00
5,0.00
6,0.00
7,0.00
8,0.00
9,0.00
10,0.00
11,0.00
12,0.00
13,0.00
14,0.00
15,0.00
16,0.00
17,0.00
18,0.00
19,0.00
20,0.00
21,0.00